# 1
The following is a PBE-GGA calculation of a relaxed BaZn2PN4 crystal, from Alexandria.

Calculated values
For the formation energy without anion corrections, the calculation gives -0.3033 eV/atom. The density of states at the Fermi level comes out at 0.316 states/eV/atom. The total energy is -45.6 eV per formula unit.

a = 5.3035 Å, b = 5.3215 Å, c = 5.3215 Å
α = 90.38°, β = 60.11°, γ = 60.11°
With the nearest neighbours (Å) after each atom.
Sites, in units of the cell vectors:
Ba: 0.5000 0.0001 0.9999  4 N 2.63
Zn: 0.0000 0.2500 0.7500  4 N 2.14
Zn: 0.0000 0.7500 0.2500  4 N 2.14
P: 0.5000 0.4999 0.5001  4 N 1.66
N: 0.1483 0.8101 0.5416  1 P 1.66
N: 0.8517 0.4584 0.1899  1 P 1.66
N: 0.5000 0.5416 0.8102  1 P 1.66
N: 0.5000 0.1898 0.4584  1 P 1.66


# 2
The following is a PBE-GGA calculation of a relaxed LaSiTe2 crystal, from Alexandria.

Calculated values
For the formation energy without anion corrections, the calculation gives -0.5166 eV/atom. The density of states at the Fermi level comes out at 0.474 states/eV/atom. The total energy is -18.7 eV per formula unit.

a = 3.8768 Å, b = 3.8768 Å, c = 8.4334 Å
α = 90.00°, β = 90.00°, γ = 91.57°
With the nearest neighbours (Å) after each atom.
Sites, in units of the cell vectors:
La: 0.0000 0.0000 0.5052  5 Te 3.16-3.30
Si: 0.5000 0.5000 0.7860  4 Te 2.86-2.93
Te: 0.0000 0.0000 0.8967  4 Si 2.86-2.93
Te: 0.5000 0.5000 0.3121  4 La 3.16-3.22


# 3
The following is a PBE-GGA calculation of a relaxed PaIn6 crystal, from Alexandria.

Calculated values
The density of states at the Fermi level comes out at 1.757 states/eV/atom. The total energy is -20.7 eV per formula unit. Its formation energy from the elements is 0.748 eV/atom.

a = 6.8294 Å, b = 6.8294 Å, c = 6.8294 Å
α = 109.47°, β = 109.47°, γ = 109.47°
With the nearest neighbours (Å) after each atom.
Sites, in units of the cell vectors:
Pa: 0.0000 0.0000 0.0000  24 In 4.41
In: 0.2500 0.7500 0.5000  4 In 2.79
In: 0.5000 0.7500 0.2500  4 In 2.79
In: 0.2500 0.5000 0.7500  4 In 2.79
In: 0.7500 0.2500 0.5000  4 In 2.79
In: 0.5000 0.2500 0.7500  4 In 2.79
In: 0.7500 0.5000 0.2500  4 In 2.79


# 4
The following is a PBE-GGA calculation of a relaxed BaBO2 crystal, from Alexandria.

Calculated values
For the formation energy without anion corrections, the calculation gives -2.4443 eV/atom. The density of states at the Fermi level comes out at 0.000 states/eV/atom. The total energy is -28.3 eV per formula unit.

a = 6.5040 Å, b = 7.9688 Å, c = 6.5259 Å
α = 114.32°, β = 90.00°, γ = 90.00°
With the nearest neighbours (Å) after each atom.
Sites, in units of the cell vectors:
Ba: 0.1272 0.2454 0.9920  6 O 2.62-2.90
Ba: 0.3728 0.7454 0.4920  6 O 2.62-2.90
Ba: 0.8728 0.7546 0.0080  6 O 2.62-2.90
Ba: 0.6272 0.2546 0.5080  6 O 2.62-2.90
B: 0.5843 0.4317 0.0471  2 O 1.37-1.38
B: 0.0843 0.0683 0.4529  2 O 1.37-1.38
B: 0.4157 0.5683 0.9529  2 O 1.37-1.38
B: 0.9157 0.9317 0.5471  2 O 1.37-1.38
O: 0.2768 0.1081 0.5480  1 B 1.38
O: 0.4912 0.6245 0.7946  1 B 1.37
O: 0.7768 0.3919 0.9520  1 B 1.38
O: 0.7232 0.8919 0.4520  1 B 1.38
O: 0.5088 0.3755 0.2054  1 B 1.37
O: 0.9912 0.8755 0.7054  1 B 1.37
O: 0.0088 0.1245 0.2946  1 B 1.37
O: 0.2232 0.6081 0.0480  1 B 1.38


# 5
The following is a PBE-GGA calculation of a relaxed Li2TmPd2 crystal, from Alexandria.

Calculated values
The density of states at the Fermi level comes out at 0.530 states/eV/atom. The total energy is -21.1 eV per formula unit. For the excess energy over the best structure of this formula in the dataset, the calculation gives 147.4 meV/atom. Its formation energy from the elements is -0.476 eV/atom.

a = 4.6911 Å, b = 4.6911 Å, c = 5.2429 Å
α = 90.00°, β = 90.00°, γ = 120.00°
With the nearest neighbours (Å) after each atom.
Sites, in units of the cell vectors:
Li: 0.3333 0.6667 0.6299  2 Pd 2.60-2.64
Li: 0.6667 0.3333 0.3701  2 Pd 2.60-2.64
Tm: 0.0000 0.0000 0.0000  6 Pd 2.80
Pd: 0.3333 0.6667 0.1332  2 Li 2.60-2.64, 3 Tm 2.80
Pd: 0.6667 0.3333 0.8668  2 Li 2.60-2.64, 3 Tm 2.80


# 6
The following is a PBE-GGA calculation of a relaxed In3PbAu3 crystal, from Alexandria.

Calculated values
The density of states at the Fermi level comes out at 0.423 states/eV/atom. The total energy is -20.6 eV per formula unit. Its formation energy from the elements is 0.160 eV/atom.

a = 7.6193 Å, b = 7.6193 Å, c = 7.6193 Å
α = 90.00°, β = 90.00°, γ = 90.00°
With the nearest neighbours (Å) after each atom.
Sites, in units of the cell vectors:
Pb: 0.5000 0.5000 0.5000  12 Au 4.26, 12 In 4.26
Pb: 0.0000 0.0000 0.0000  12 In 4.26, 12 Au 4.26
Au: 0.0000 0.2500 0.5000  4 In 2.69
Au: 0.0000 0.7500 0.5000  4 In 2.69
Au: 0.5000 0.0000 0.7500  4 In 2.69
Au: 0.7500 0.5000 0.0000  4 In 2.69
Au: 0.5000 0.0000 0.2500  4 In 2.69
Au: 0.2500 0.5000 0.0000  4 In 2.69
In: 0.2500 0.0000 0.5000  4 Au 2.69
In: 0.0000 0.5000 0.2500  4 Au 2.69
In: 0.5000 0.7500 0.0000  4 Au 2.69
In: 0.7500 0.0000 0.5000  4 Au 2.69
In: 0.0000 0.5000 0.7500  4 Au 2.69
In: 0.5000 0.2500 0.0000  4 Au 2.69


# 7
The following is a PBE-GGA calculation of a relaxed ThScTi2 crystal, from Alexandria.

Calculated values
The density of states at the Fermi level comes out at 1.319 states/eV/atom. The total energy is -28.9 eV per formula unit. For the excess energy over the best structure of this formula in the dataset, the calculation gives 0.0 meV/atom. Its formation energy from the elements is 0.149 eV/atom.

a = 4.2185 Å, b = 4.5757 Å, c = 4.5757 Å
α = 90.00°, β = 90.00°, γ = 90.00°
With the nearest neighbours (Å) after each atom.
Sites, in units of the cell vectors:
Sc: 0.5000 0.5000 0.5000  8 Ti 3.11, 4 Th 3.24
Th: 0.5000 0.0000 0.0000  8 Ti 3.11, 4 Sc 3.24
Ti: 0.0000 0.0000 0.5000  4 Th 3.11, 4 Sc 3.11, 4 Ti 3.24
Ti: 0.0000 0.5000 0.0000  4 Th 3.11, 4 Sc 3.11, 4 Ti 3.24


# 8
The following is a PBE-GGA calculation of a relaxed Lu3CdN crystal, from Alexandria.

Calculated values
For the formation energy without anion corrections, the calculation gives -0.9014 eV/atom. The density of states at the Fermi level comes out at 1.004 states/eV/atom. The total energy is -27.3 eV per formula unit.

a = 4.6981 Å, b = 4.6981 Å, c = 4.6981 Å
α = 90.00°, β = 90.00°, γ = 90.00°
With the nearest neighbours (Å) after each atom.
Sites, in units of the cell vectors:
N: 0.0000 0.0000 0.0000  6 Lu 2.35
Lu: 0.0000 0.5000 0.0000  2 N 2.35
Lu: 0.0000 0.0000 0.5000  2 N 2.35
Lu: 0.5000 0.0000 0.0000  2 N 2.35
Cd: 0.5000 0.5000 0.5000  12 Lu 3.32


Respective mass density values: 5.55 5.53 6.23 3.88 6.58 8.58 7.01 10.43 g/cm3.